First-principles (PBE+U) data for a relaxed FeRh2F crystal, as listed in the Alexandria database.

Values from the calculation:
Energy above the most stable polymorph in this dataset, meV/atom: 62
Spin magnetization, μB/f.u.: 6.0
Crystal system: tetragonal

abc: 6.7670 6.7670 5.1013
angles: 90.00 90.00 90.00
Space group I-42d (No. 122)
One atom of each set of equivalent atoms:
Fe 0.0000 0.0000 0.0000
Rh 0.2272 0.2500 0.6250
F 0.0000 0.0000 0.5000